Computed, not measured: a relaxed structure of Fe5Co3 at the PBE level of DFT.

Results
* E_form: -35.2 meV per atom

Cell lengths 6.992, 6.992, 6.992 Å; angles 33.40, 33.40, 33.40 degrees
Positions (direct):
Co1 0.375 0.375 0.375
Co2 0.500 0.500 0.500
Co3 0.625 0.625 0.625
Fe1 0.749 0.749 0.749
Fe2 0.000 0.000 0.000
Fe3 0.125 0.125 0.125
Fe4 0.251 0.251 0.251
Fe5 0.875 0.875 0.875


Computed, not measured: a relaxed structure of FeCo6 at the PBE level of DFT.

Results
* E_form: 58.5 meV per atom

Cell lengths 6.123, 6.123, 6.123 Å; angles 118.24, 118.24, 118.24 degrees
Positions (direct):
Co1 0.744 0.888 0.454
Co2 0.398 0.689 0.828
Co3 0.597 0.315 0.173
Co4 0.316 0.169 0.601
Co5 0.971 0.969 0.974
Co6 0.117 0.542 0.255
Fe1 0.857 0.429 0.714


Computed, not measured: a relaxed structure of Fe5Co3 at the PBE level of DFT.

Results
* E_form: -24.4 meV per atom

Cell lengths 5.701, 4.947, 4.921 Å; angles 70.58, 54.92, 54.49 degrees
Positions (direct):
Co1 0.000 0.000 0.000
Co2 0.000 0.500 0.000
Co3 0.500 0.000 0.500
Fe1 0.500 0.500 0.000
Fe2 0.000 0.500 0.500
Fe3 0.500 0.500 0.500
Fe4 0.500 0.000 0.000
Fe5 0.000 0.000 0.500


Computed, not measured: a relaxed structure of Fe7Co at the PBE level of DFT.

Results
* E_form: -19.1 meV per atom

Cell lengths 4.917, 4.917, 4.917 Å; angles 109.47, 109.47, 109.47 degrees
Positions (direct):
Fe1 0.500 0.500 0.000
Fe2 0.000 0.500 0.000
Fe3 0.500 0.500 0.500
Fe4 0.000 0.000 0.500
Fe5 0.500 0.000 0.000
Fe6 0.000 0.500 0.500
Fe7 0.500 0.000 0.500
Co1 0.000 0.000 0.000


Computed, not measured: a relaxed structure of Fe5Co3 at the PBE level of DFT.

Results
* E_form: -20.3 meV per atom

Cell lengths 6.373, 6.373, 6.373 Å; angles 143.12, 143.35, 52.98 degrees
Positions (direct):
Fe1 0.375 0.875 0.500
Fe2 0.502 0.502 0.000
Fe3 0.748 0.748 0.000
Fe4 0.875 0.375 0.500
Fe5 0.625 0.125 0.500
Co1 0.251 0.251 0.000
Co2 0.999 0.999 0.000
Co3 0.125 0.625 0.500


Computed, not measured: a relaxed structure of Fe4Co3 at the PBE level of DFT.

Results
* E_form: -23.7 meV per atom

Cell lengths 10.199, 10.199, 10.199 Å; angles 164.03, 164.03, 22.66 degrees
Positions (direct):
Fe1 0.143 0.143 0.000
Fe2 0.715 0.715 0.000
Fe3 0.858 0.858 0.000
Fe4 0.570 0.570 0.000
Co1 0.001 0.001 0.000
Co2 0.427 0.427 0.000
Co3 0.286 0.286 0.000


Computed, not measured: a relaxed structure of Fe4Co3 at the PBE level of DFT.

Results
* E_form: -5.8 meV per atom

Cell lengths 6.170, 6.170, 6.170 Å; angles 118.22, 118.22, 118.22 degrees
Positions (direct):
Fe1 0.284 0.142 0.570
Fe2 0.712 0.855 0.428
Fe3 0.862 0.434 0.720
Fe4 0.571 0.284 0.141
Co1 0.142 0.572 0.285
Co2 0.000 0.000 0.999
Co3 0.428 0.714 0.857


Computed, not measured: a relaxed structure of Fe15Co at the PBE level of DFT.

Results
* E_form: 85.5 meV per atom

Cell lengths 4.943, 4.943, 7.872 Å; angles 90.00, 90.00, 120.00 degrees
Positions (direct):
Fe1 0.503 0.005 0.000
Fe2 0.832 0.664 0.749
Fe3 0.336 0.168 0.251
Fe4 0.832 0.168 0.749
Fe5 0.336 0.168 0.749
Fe6 0.333 0.667 0.251
Fe7 0.502 0.498 0.500
Fe8 0.503 0.497 0.000
Fe9 0.997 0.498 0.500
Fe10 0.832 0.664 0.251
Fe11 0.832 0.168 0.251
Fe12 0.995 0.497 0.000
Fe13 0.000 0.000 0.500
Fe14 0.502 0.003 0.500
Fe15 0.333 0.667 0.749
Co1 0.000 0.000 0.000


Computed, not measured: a relaxed structure of Fe2Co3 at the PBE level of DFT.

Results
* E_form: 2.1 meV per atom

Cell lengths 6.177, 6.177, 2.467 Å; angles 82.25, 82.25, 37.56 degrees
Positions (direct):
Fe1 0.599 0.599 0.596
Fe2 0.801 0.801 0.804
Co1 0.400 0.400 0.427
Co2 0.000 0.000 0.973
Co3 0.200 0.200 0.200


Computed, not measured: a relaxed structure of Fe5Co3 at the PBE level of DFT.

Results
* E_form: 126.7 meV per atom

Cell lengths 6.884, 6.884, 4.625 Å; angles 90.00, 90.00, 60.01 degrees
Positions (direct):
Fe1 0.000 0.233 0.750
Fe2 0.667 0.667 0.500
Fe3 0.333 0.333 0.000
Fe4 0.667 0.667 0.000
Fe5 0.233 0.767 0.750
Fe6 0.000 0.767 0.250
Fe7 0.233 0.000 0.250
Fe8 0.767 0.233 0.250
Fe9 0.333 0.333 0.500
Fe10 0.767 0.000 0.750
Co1 0.593 0.407 0.750
Co2 0.407 0.000 0.750
Co3 0.000 0.407 0.250
Co4 0.593 0.000 0.250
Co5 0.406 0.593 0.250
Co6 0.000 0.593 0.750


For each record above, in turn, the calculated volume values are 11.532, 11.198, 11.559, 11.442, 11.522, 11.469, 11.519, 10.412, 11.357, 11.865 A^3/atom.